PBE Cr2CuNi2, relaxed; magnetic moment = 0.00 μB/f.u.; V = 11.83 Å³ per atom; symmetry = P4/mbm; electronic total energy = -6.72 eV per atom; E_form = 263 meV/atom; polymorph energy (0 for the lowest one) = 0 meV/atom
1.0
-6.0480 -3.1804 -0.9164
-0.4537 -1.0942 6.7918
-1.1831 2.1719 0.2709
Ni Cu Cr
4 2 4
Cartesian
-2.6793 -2.1595 5.6122
-5.5879 -3.4713 3.4261
-3.8223 -2.1151 0.2633
-0.9138 -0.8033 2.4494
0.0000 0.0000 0.0000
-3.2508 -2.1373 2.9377
-1.9471 -0.2033 4.5514
-5.0404 -1.9606 5.1309
-5.7377 -1.8995 1.5950
-2.6444 -0.1421 1.0154

PBE CsAsPb2, relaxed; magnetic moment = 0.00 μB/f.u.; V = 39.21 Å³ per atom; symmetry = R-3m; electronic total energy = -3.33 eV per atom; E_form = -102 meV/atom
1.0
-1.8046 2.8876 -3.7362
1.2181 -1.0225 -4.7984
-5.8560 -3.6087 -3.3803
Pb Cs As
2 1 1
Cartesian
-0.9372 0.0673 -2.9150
-5.5052 -1.8110 -8.9999
-3.2212 -0.8718 -5.9574
0.0000 0.0000 0.0000

PBE CaAl2Ir2, relaxed; magnetic moment = 0.00 μB/f.u.; V = 18.52 Å³ per atom; symmetry = I4/mmm; electronic total energy = -6.18 eV per atom; E_form = -736 meV/atom
1.0
4.1112 0.0000 0.0000
0.0000 4.1112 0.0000
2.0556 2.0556 5.4792
Ca Ir Al
1 2 2
Cartesian
0.0000 0.0000 0.0000
2.0556 2.0556 1.2714
4.1112 4.1112 4.2078
4.1112 2.0556 2.7396
2.0556 4.1112 2.7396

PBE Al2ZnCo, relaxed; magnetic moment = 0.00 μB/f.u.; V = 13.37 Å³ per atom; symmetry = P4/mmm; electronic total energy = -4.22 eV per atom; E_form = -249 meV/atom
1.0
2.9687 0.0000 0.0000
0.0000 2.9652 0.0000
0.0000 0.0000 6.0745
Zn Co Al
1 1 2
Cartesian
1.4844 1.4826 4.5559
1.4844 1.4826 1.5186
0.0000 0.0000 0.1770
0.0000 0.0000 2.8602

PBE Tl2TeAs2, relaxed; magnetic moment = 0.00 μB/f.u.; V = 29.76 Å³ per atom; symmetry = I4/mmm; raw formation energy = 0.033 eV per atom; electronic total energy = -3.40 eV per atom; polymorph energy (0 for the lowest one) = 0 meV/atom
1.0
-0.3402 -0.3351 3.6938
-3.2335 -1.7901 -0.4603
3.4448 -10.4183 1.2498
Tl Te As
2 1 2
Cartesian
-0.6314 -3.1290 1.5357
0.5024 -9.4146 2.9476
0.0000 0.0000 0.0000
0.6589 -5.9081 3.2802
-0.7878 -6.6356 1.2031

PBE Ir3RuI, relaxed; magnetic moment = 0.00 μB/f.u.; V = 21.57 Å³ per atom; symmetry = Pm-3m; raw formation energy = 1.859 eV per atom; electronic total energy = -5.62 eV per atom; polymorph energy (0 for the lowest one) = 0 meV/atom
1.0
4.7597 0.0000 0.0000
0.0000 4.7597 0.0000
0.0000 0.0000 4.7597
I Ru Ir
1 1 3
Cartesian
2.3799 2.3799 2.3799
0.0000 0.0000 0.0000
0.0000 2.3799 0.0000
0.0000 0.0000 2.3799
2.3799 0.0000 0.0000

PBE PrY4Th, relaxed; magnetic moment = 0.00 μB/f.u.; V = 33.59 Å³ per atom; symmetry = C2/m; electronic total energy = -6.15 eV per atom; E_form = 196 meV/atom; polymorph energy (0 for the lowest one) = 120 meV/atom
1.0
-0.1243 0.9005 3.2917
4.6261 -2.7100 2.6875
6.2510 8.3303 -0.2715
Pr Y Th
1 4 1
Cartesian
5.3764 3.2604 2.8539
3.3618 0.4323 3.5515
7.3909 6.0886 2.1562
4.2160 5.5788 0.4044
6.5368 0.9421 5.3033
0.0000 0.0000 0.0000

PBE NbCdGeO6, relaxed; magnetic moment = 1.01 μB/f.u.; V = 12.59 Å³ per atom; symmetry = P-31c; raw formation energy = -1.619 eV per atom; electronic total energy = -6.66 eV per atom
1.0
5.2555 0.0000 0.0000
-2.6278 4.5514 0.0000
0.0000 0.0000 9.4750
Nb Cd Ge O
2 2 2 12
Cartesian
2.6278 1.5171 2.3687
0.0000 3.0343 7.1062
0.0000 0.0000 0.0000
0.0000 0.0000 4.7375
0.0000 3.0343 2.3687
2.6278 1.5171 7.1062
1.6027 2.9066 1.3226
-0.9120 1.7101 1.3226
1.9370 0.0653 6.0601
3.5397 2.8413 8.1524
0.9120 1.7101 3.4149
-1.6027 2.9066 3.4149
3.3185 0.0653 8.1524
0.6908 4.4861 3.4149
4.2305 1.6448 6.0601
-0.6908 4.4861 1.3226
1.7158 2.8413 6.0601
1.0250 1.6448 8.1524